1.
This record from the Alexandria database describes an optimized crystal structure of TbPmMgCo. The functional is GGA-PBE.

Properties
The final energy comes out at -4.605 eV per atom. As for the offset from the most stable computed form: 0 meV/atom. The formation energy comes out at -84 meV/atom. The symmetry is P4mm, No. 99. For the volume, the calculation gives 24.34 A^3/atom.

Lattice parameters (Å, degrees): 3.454 3.454 8.164 90.00 90.00 90.00
Site moments in Bohr magnetons follow the coordinates.
Fractional positions:
Mg1 0.000 0.000 0.064  0.01
Co1 0.000 0.000 0.579  1.02
Pm1 0.500 0.500 0.368  -0.08
Tb1 0.500 0.500 0.773  -0.11

***

2.
This record from the Alexandria database describes an optimized crystal structure of SrLuCdPt. The functional is GGA-PBE.

Properties
The final energy comes out at -3.815 eV per atom. The formation energy comes out at -526 meV/atom. The symmetry is F-43m, No. 216. For the volume, the calculation gives 24.62 A^3/atom.

Lattice parameters (Å, degrees): 5.184 5.184 5.184 60.00 60.00 60.00
Fractional positions:
Sr1 0.750 0.750 0.750
Cd1 0.500 0.500 0.500
Pt1 0.000 0.000 0.000
Lu1 0.250 0.250 0.250

***

Among the records above, which one has the highest final energy? SrLuCdPt